First-principles (PBE-GGA) data for Cr4HgRh after structural relaxation, as listed in Alexandria via LeMat-Bulk.

Cell lengths 4.848, 4.848, 4.848 Å; angles 60.00, 60.00, 60.00 degrees
Sites, in units of the cell vectors:
Cr 0.868 0.377 0.377
Cr 0.377 0.377 0.868
Cr 0.377 0.868 0.377
Cr 0.377 0.377 0.377
Hg 0.750 0.750 0.750
Rh 0.000 0.000 0.000

* calculated volume: 80.6 Å³/cell
* N(E_F): 7.40 states/eV/f.u.
* space group: F-43m, No. 216
* DFT formation energy: 0.297 eV per atom

First-principles (PBE-GGA) data for Tb4Pr3Nd after structural relaxation, as listed in Alexandria via LeMat-Bulk.

Cell lengths 3.495, 9.050, 9.050 Å; angles 81.34, 78.87, 78.87 degrees
Sites, in units of the cell vectors:
Pr 0.759 0.241 0.241
Pr 0.241 0.759 0.759
Pr 0.000 0.500 0.500
Nd 0.500 0.000 0.000
Tb 0.635 0.114 0.617
Tb 0.365 0.886 0.383
Tb 0.365 0.383 0.886
Tb 0.635 0.617 0.114

* calculated volume: 273.6 Å³/cell
* N(E_F): 12.57 states/eV/f.u.
* space group: Immm, No. 71
* polymorph energy (0 for the lowest one): 0.096 eV/atom
* DFT formation energy: 0.126 eV per atom

First-principles (PBE-GGA) data for Er2TmAg3Se6 after structural relaxation, as listed in Alexandria via LeMat-Bulk.

Cell lengths 4.132, 8.064, 9.072 Å; angles 100.92, 103.16, 90.00 degrees
Sites, in units of the cell vectors:
Er 0.833 0.669 0.666
Er 0.167 0.331 0.334
Tm 0.500 0.000 0.000
Ag 0.500 0.500 0.000
Ag 0.832 0.170 0.665
Ag 0.168 0.830 0.335
Se 0.336 0.915 0.671
Se 0.668 0.578 0.336
Se 0.664 0.085 0.329
Se 0.002 0.245 0.003
Se 0.998 0.755 0.997
Se 0.332 0.422 0.664

* calculated volume: 288.8 Å³/cell
* N(E_F): 0.00 states/eV/f.u.
* space group: C2/m, No. 12
* energy relative to the elements, uncorrected: -1.16 eV/atom